No. 1
# TaNb2C2, optimized geometry, DFT PBE
# - V: 65.3 Å³ per cell
# - Formation energy from the elements: -0.5461 eV per atom
# - E above lowest polymorph: 0 kJ/mol of formula units
# - SG: No. 166
data_TaNb2C2
_cell_length_a 3.163
_cell_length_b 3.163
_cell_length_c 7.758
_cell_angle_alpha 78.24
_cell_angle_beta 78.24
_cell_angle_gamma 60.00
_symmetry_space_group_name_H-M 'P 1'
_symmetry_Int_Tables_number 1
loop_
_symmetry_equiv_pos_as_xyz
'x,y,z'
loop_
_atom_site_label
_atom_site_fract_x
_atom_site_fract_y
_atom_site_fract_z
Nb1 0.222 0.222 0.335
C1 0.609 0.609 0.174
C2 0.391 0.391 0.826
Nb2 0.778 0.778 0.665
Ta1 0.000 0.000 0.000

***

No. 2
# Ce3Nd3WN8, optimized geometry, DFT PBE
# - V: 244.0 Å³ per cell
# - Total energy: -129.80 eV/cell
# - SG: No. 166
data_Ce3Nd3WN8
_cell_length_a 6.982
_cell_length_b 6.983
_cell_length_c 7.047
_cell_angle_alpha 119.71
_cell_angle_beta 90.00
_cell_angle_gamma 120.00
_symmetry_space_group_name_H-M 'P 1'
_symmetry_Int_Tables_number 1
loop_
_symmetry_equiv_pos_as_xyz
'x,y,z'
loop_
_atom_site_label
_atom_site_fract_x
_atom_site_fract_y
_atom_site_fract_z
N1 0.777 0.990 0.702
N2 0.745 0.490 0.735
N3 0.223 0.010 0.298
Nd1 0.500 0.500 0.000
N4 0.255 0.510 0.265
Nd2 0.000 0.500 0.000
N5 0.213 0.990 0.702
Ce1 0.000 0.500 0.500
N6 0.787 0.010 0.298
N7 0.788 0.575 0.298
Ce2 0.500 0.500 0.500
W1 0.000 0.000 0.500
Nd3 0.000 0.000 0.000
N8 0.212 0.425 0.702
Ce3 0.500 0.000 0.500

***

No. 3
# LaInHg2, optimized geometry, DFT PBE
# - V: 105.7 Å³ per cell
# - Formation energy from the elements: -0.4698 eV per atom
# - E above lowest polymorph: 0 kJ/mol of formula units
# - SG: No. 225
data_LaInHg2
_cell_length_a 5.308
_cell_length_b 5.308
_cell_length_c 5.308
_cell_angle_alpha 60.00
_cell_angle_beta 60.00
_cell_angle_gamma 60.00
_symmetry_space_group_name_H-M 'P 1'
_symmetry_Int_Tables_number 1
loop_
_symmetry_equiv_pos_as_xyz
'x,y,z'
loop_
_atom_site_label
_atom_site_fract_x
_atom_site_fract_y
_atom_site_fract_z
La1 0.500 0.500 0.500
In1 0.000 0.000 0.000
Hg1 0.250 0.250 0.250
Hg2 0.750 0.750 0.750